A plane-wave DFT calculation with GGA+U was carried out for an optimized crystal structure of RbTiNiF6.

Calculated values
**Size of the total moment**: 6.000 Bohr magnetons per cell
**Electronic total energy**: -5.364 eV per atom
**Calculated density**: 3.3 g/cm³
**Space group**: P-31c (163)

Cell: 5.462 5.462 11.928 Å, 90.00 90.00 120.00°
Atoms (fractional coordinates):
Ni: 0.333 0.667 0.250
Ni: 0.667 0.333 0.750
F: 0.379 0.384 0.841
F: 0.005 0.621 0.841
F: 0.995 0.616 0.341
F: 0.621 0.616 0.159
F: 0.384 0.379 0.341
F: 0.616 0.995 0.841
F: 0.616 0.621 0.659
F: 0.379 0.995 0.659
F: 0.005 0.384 0.659
F: 0.384 0.005 0.159
F: 0.995 0.379 0.159
F: 0.621 0.005 0.341
Ti: 0.333 0.667 0.750
Ti: 0.667 0.333 0.250
Rb: 0.000 0.000 0.000
Rb: 0.000 0.000 0.500